## ZnMo2Cl (PBE-GGA)

Data for crystalline ZnMo2Cl at its relaxed geometry.

The value obtained for the formation energy from raw total energies is 0.7106 eV per atom. As for the offset from the most stable computed form: 0.5260 eV/atom. Its density is 7.140 g/cm³. Its total magnetization is 0.00 μB per formula unit. As for the electronic total energy: -87.8 eV per cell.

The structure belongs to space group I-42d (No. 122); the cell edges are 3.767, 3.767 and 19.190 Å and the angles 90.00°, 90.00° and 90.00°. Symmetry generates all atoms from Zn at (0.000, 0.000, 0.000), Mo at (0.242, 0.250, 0.625) and Cl at (0.000, 0.000, 0.500).